# AlMoRu | Alexandria via LeMat-Bulk | GGA-PBEsol | optimized geometry
data_AlMoRu
_space_group_name_H-M_alt 'F -4 3 m'
_space_group_IT_number 216
_space_group_name_Hall 'F -4 2 3'
_cell_length_a 5.843
_cell_length_b 5.843
_cell_length_c 5.843
_cell_angle_alpha 90.00
_cell_angle_beta 90.00
_cell_angle_gamma 90.00
loop_
_atom_site_label
_atom_site_type_symbol
_atom_site_fract_x
_atom_site_fract_y
_atom_site_fract_z
_atom_site_occupancy
Al1 Al 0.000 0.000 0.000 1
Mo1 Mo 0.000 0.000 0.500 1
Ru1 Ru 0.250 0.250 0.250 1
# Formation energy from the elements   61 meV/atom
# M_tot   0.0 Bohr magnetons per cell
# Fermi-level density of states   13.674 states/eV/cell


# SbOsI2O | Alexandria via LeMat-Bulk | GGA-PBEsol | optimized geometry
data_SbOsI2O
_space_group_name_H-M_alt 'P 4/m m m'
_space_group_IT_number 123
_space_group_name_Hall '-P 4 2'
_cell_length_a 5.862
_cell_length_b 5.862
_cell_length_c 3.952
_cell_angle_alpha 90.00
_cell_angle_beta 90.00
_cell_angle_gamma 90.00
loop_
_atom_site_label
_atom_site_type_symbol
_atom_site_fract_x
_atom_site_fract_y
_atom_site_fract_z
_atom_site_occupancy
Sb1 Sb 0.000 0.000 0.000 1
Os1 Os 0.500 0.500 0.500 1
I1 I 0.000 0.500 0.000 1
O1 O 0.000 0.000 0.500 1
# M_tot   3.6 Bohr magnetons per cell
# Fermi-level density of states   6.297 states/eV/cell
# Energy relative to the elements, uncorrected   1.122 eV/atom


# SrAg2Os | Alexandria via LeMat-Bulk | GGA-PBEsol | optimized geometry
data_SrAg2Os
_space_group_name_H-M_alt 'P 4 m m'
_space_group_IT_number 99
_cell_length_a 2.915
_cell_length_b 2.915
_cell_length_c 8.817
_cell_angle_alpha 90.00
_cell_angle_beta 90.00
_cell_angle_gamma 90.00
loop_
_space_group_symop_operation_xyz
'x,y,z'
'-y,x,z'
'-x,-y,z'
'y,-x,z'
'-x,y,z'
'y,x,z'
'x,-y,z'
'-y,-x,z'
loop_
_atom_site_label
_atom_site_type_symbol
_atom_site_fract_x
_atom_site_fract_y
_atom_site_fract_z
_atom_site_occupancy
Sr1 Sr 0.000 0.000 0.000 1
Ag1 Ag 0.000 0.000 0.519 1
Ag2 Ag 0.500 0.500 0.295 1
Os1 Os 0.500 0.500 0.735 1
# Formation energy from the elements   643 meV/atom
# M_tot   0.0 Bohr magnetons per cell
# Fermi-level density of states   4.042 states/eV/cell
# Energy above the lowest structure with this stoichiometry   0.080 eV/f.u.


What did the second record say?
# SbOsI2O | Alexandria via LeMat-Bulk | GGA-PBEsol | optimized geometry
data_SbOsI2O
_space_group_name_H-M_alt 'P 4/m m m'
_space_group_IT_number 123
_space_group_name_Hall '-P 4 2'
_cell_length_a 5.862
_cell_length_b 5.862
_cell_length_c 3.952
_cell_angle_alpha 90.00
_cell_angle_beta 90.00
_cell_angle_gamma 90.00
loop_
_atom_site_label
_atom_site_type_symbol
_atom_site_fract_x
_atom_site_fract_y
_atom_site_fract_z
_atom_site_occupancy
Sb1 Sb 0.000 0.000 0.000 1
Os1 Os 0.500 0.500 0.500 1
I1 I 0.000 0.500 0.000 1
O1 O 0.000 0.000 0.500 1
# M_tot   3.6 Bohr magnetons per cell
# Fermi-level density of states   6.297 states/eV/cell
# Energy relative to the elements, uncorrected   1.122 eV/atom


Q: Which of these has the highest Fermi-level density of states?
A: AlMoRu